Entry 1:
Here is an optimized crystal structure of Li2BiRuF from the Alexandria database. Energies are from PBE-GGA.

Calculated values
- E_form (uncorrected): 0.415 eV per atom

Lattice parameters (Å, degrees): 5.294 5.294 4.519 90.00 90.00 90.00
Fractional coordinates of all 5 atoms:
Li  0.000  0.500  0.000
Li  0.500  0.000  0.000
Bi  0.000  0.000  0.000
Ru  0.500  0.500  0.500
F  0.000  0.000  0.500


Entry 2:
Here is an optimized crystal structure of Ca4AgBr from the Alexandria database. Energies are from PBE-GGA.

Calculated values
- E_form (uncorrected): 0.146 eV per atom

Lattice parameters (Å, degrees): 6.911 6.911 6.911 60.00 60.00 60.00
Fractional coordinates of all 6 atoms:
Ca  0.124  0.124  0.124
Ca  0.124  0.124  0.627
Ca  0.124  0.627  0.124
Ca  0.627  0.124  0.124
Ag  0.750  0.750  0.750
Br  0.500  0.500  0.500


Entry 3:
Here is an optimized crystal structure of Tm3Al4Au4 from the Alexandria database. Energies are from PBE-GGA.

Calculated values
- Energy relative to the elements: -0.75 eV per atom

Lattice parameters (Å, degrees): 8.341 8.341 8.341 150.62 129.15 59.82
Fractional coordinates of all 11 atoms:
Tm  0.000  0.000  0.000
Tm  0.381  0.881  0.500
Tm  0.619  0.119  0.500
Al  0.020  0.326  0.694
Al  0.367  0.674  0.694
Al  0.633  0.326  0.306
Al  0.980  0.674  0.306
Au  0.220  0.220  0.000
Au  0.296  0.500  0.796
Au  0.704  0.500  0.204
Au  0.780  0.780  0.000


Entry 4:
Here is an optimized crystal structure of Cr2BiAs from the Alexandria database. Energies are from PBE-GGA.

Calculated values
- Energy relative to the elements: 0.57 eV per atom

Lattice parameters (Å, degrees): 4.550 4.550 4.550 60.00 60.00 60.00
Fractional coordinates of all 4 atoms:
Cr  0.250  0.250  0.250
Cr  0.750  0.750  0.750
Bi  0.000  0.000  0.000
As  0.500  0.500  0.500


Entry 5:
Here is an optimized crystal structure of Y2FeRh from the Alexandria database. Energies are from PBE-GGA.

Calculated values
- Energy relative to the elements: 0.02 eV per atom

Lattice parameters (Å, degrees): 7.986 7.986 7.986 26.36 26.36 26.36
Fractional coordinates of all 4 atoms:
Y  0.247  0.247  0.247
Y  0.753  0.753  0.753
Fe  0.000  0.000  0.000
Rh  0.500  0.500  0.500


Entry 6:
Here is an optimized crystal structure of AcYPd2 from the Alexandria database. Energies are from PBE-GGA.

Calculated values
- Energy relative to the elements: -0.77 eV per atom
- Relative energy among the computed polymorphs: 1.338 kcal/mol of atoms

Lattice parameters (Å, degrees): 3.674 3.674 7.266 90.00 90.00 90.00
Fractional coordinates of all 4 atoms:
Ac  0.000  0.000  0.000
Y  0.000  0.000  0.500
Pd  0.500  0.500  0.282
Pd  0.500  0.500  0.718


Entry 7:
Here is an optimized crystal structure of KDyTi4O12 from the Alexandria database. Energies are from PBE-GGA.

Calculated values
- E_form (uncorrected): -2.438 eV per atom

Lattice parameters (Å, degrees): 7.750 5.481 5.481 89.90 90.00 90.00
Fractional coordinates of all 18 atoms:
K  0.000  0.000  0.000
Dy  0.500  0.523  0.523
Ti  0.244  0.015  0.503
Ti  0.244  0.503  0.015
Ti  0.756  0.015  0.503
Ti  0.756  0.503  0.015
O  0.000  0.020  0.493
O  0.000  0.493  0.020
O  0.247  0.746  0.746
O  0.274  0.261  0.748
O  0.274  0.748  0.261
O  0.296  0.271  0.271
O  0.500  0.530  0.951
O  0.500  0.951  0.530
O  0.704  0.271  0.271
O  0.726  0.261  0.748
O  0.726  0.748  0.261
O  0.753  0.746  0.746


Entry 8:
Here is an optimized crystal structure of ZnAsRu2 from the Alexandria database. Energies are from PBE-GGA.

Calculated values
- Energy relative to the elements: 0.06 eV per atom
- Relative energy among the computed polymorphs: 3.807 kcal/mol of atoms

Lattice parameters (Å, degrees): 2.946 4.516 4.353 90.00 90.00 90.00
Fractional coordinates of all 4 atoms:
Zn  0.000  0.000  0.000
As  0.500  0.500  0.787
Ru  0.000  0.500  0.295
Ru  0.500  0.000  0.500


Entry 9:
Here is an optimized crystal structure of Be3ZnPd4 from the Alexandria database. Energies are from PBE-GGA.

Calculated values
- Energy relative to the elements: -0.52 eV per atom

Lattice parameters (Å, degrees): 7.168 7.168 7.168 33.15 33.15 33.15
Fractional coordinates of all 8 atoms:
Be  0.000  0.000  0.000
Be  0.252  0.252  0.252
Be  0.748  0.748  0.748
Zn  0.500  0.500  0.500
Pd  0.118  0.118  0.118
Pd  0.371  0.371  0.371
Pd  0.629  0.629  0.629
Pd  0.882  0.882  0.882


Entry 10:
Here is an optimized crystal structure of YFeCu2 from the Alexandria database. Energies are from PBE-GGA.

Calculated values
- Energy relative to the elements: 0.17 eV per atom

Lattice parameters (Å, degrees): 3.926 3.926 4.054 90.00 90.00 90.00
Fractional coordinates of all 4 atoms:
Y  0.000  0.000  0.000
Fe  0.500  0.500  0.000
Cu  0.000  0.500  0.500
Cu  0.500  0.000  0.500


Entry 11:
Here is an optimized crystal structure of ScH2AuN from the Alexandria database. Energies are from PBE-GGA.

Calculated values
- E_tot: -5.10 eV/atom

Lattice parameters (Å, degrees): 3.284 3.284 5.550 90.00 90.00 90.00
Fractional coordinates of all 5 atoms:
Sc  0.000  0.000  0.000
H  0.000  0.500  0.500
H  0.500  0.000  0.500
Au  0.500  0.500  0.500
N  0.500  0.500  0.000


Entry 12:
Here is an optimized crystal structure of TiMoPS2 from the Alexandria database. Energies are from PBE-GGA.

Calculated values
- E_form (uncorrected): 0.347 eV per atom
- Relative energy among the computed polymorphs: 1.545 kcal/mol of atoms

Lattice parameters (Å, degrees): 4.587 4.587 4.819 90.00 90.00 90.00
Fractional coordinates of all 5 atoms:
Ti  0.000  0.000  0.000
Mo  0.500  0.500  0.500
P  0.000  0.000  0.500
S  0.000  0.500  0.000
S  0.500  0.000  0.000


Entry 13:
Here is an optimized crystal structure of HoZr2Rh from the Alexandria database. Energies are from PBE-GGA.

Calculated values
- Energy relative to the elements: -0.28 eV per atom
- Relative energy among the computed polymorphs: 2.545 kcal/mol of atoms

Lattice parameters (Å, degrees): 3.372 3.372 7.725 90.00 90.00 90.00
Fractional coordinates of all 4 atoms:
Ho  0.000  0.000  0.000
Zr  0.500  0.500  0.296
Zr  0.500  0.500  0.704
Rh  0.000  0.000  0.500


Entry 14:
Here is an optimized crystal structure of Cr2CoHIr from the Alexandria database. Energies are from PBE-GGA.

Calculated values
- Relative energy among the computed polymorphs: 0.000 kcal/mol of atoms

Lattice parameters (Å, degrees): 3.690 3.690 3.666 90.00 90.00 90.00
Fractional coordinates of all 5 atoms:
Cr  0.000  0.500  0.000
Cr  0.500  0.000  0.000
Co  0.000  0.000  0.500
H  0.000  0.000  0.000
Ir  0.500  0.500  0.500


Entry 15:
Here is an optimized crystal structure of CuNiRh2N from the Alexandria database. Energies are from PBE-GGA.

Calculated values
- E_form (uncorrected): 0.146 eV per atom

Lattice parameters (Å, degrees): 4.040 4.040 3.722 90.00 90.00 90.00
Fractional coordinates of all 5 atoms:
Cu  0.000  0.000  0.000
Ni  0.500  0.500  0.000
Rh  0.000  0.500  0.500
Rh  0.500  0.000  0.500
N  0.500  0.500  0.500


Entry 16:
Here is an optimized crystal structure of ReGeRu3 from the Alexandria database. Energies are from PBE-GGA.

Calculated values
- Energy relative to the elements: 1.59 eV per atom
- Relative energy among the computed polymorphs: 2.537 kcal/mol of atoms

Lattice parameters (Å, degrees): 4.681 4.681 4.681 90.00 90.00 90.00
Fractional coordinates of all 5 atoms:
Re  0.000  0.000  0.000
Ge  0.500  0.500  0.500
Ru  0.000  0.000  0.500
Ru  0.000  0.500  0.000
Ru  0.500  0.000  0.000


| no. | volume (Å³/cell) |
| --- | --- |
| 1 | 126.6 |
| 2 | 233.4 |
| 3 | 219.1 |
| 4 | 66.6 |
| 5 | 88.5 |
| 6 | 98.1 |
| 7 | 232.9 |
| 8 | 57.9 |
| 9 | 98.0 |
| 10 | 62.5 |
| 11 | 59.8 |
| 12 | 101.4 |
| 13 | 87.8 |
| 14 | 49.9 |
| 15 | 60.7 |
| 16 | 102.6 |